A geometry-optimized CdRhIN2 structure, computed with PBE.

Calculated values
E_form (uncorrected) = 1.94 eV/atom
energy above the lowest structure with this stoichiometry = 84.95 kJ/mol of atoms

abc: 4.168 4.168 6.627
angles: 90.00 90.00 90.00
Fractional coordinates of all 5 atoms:
Cd1 0.000 0.000 0.000
Rh1 0.500 0.500 0.500
I1 0.000 0.000 0.500
N1 0.000 0.500 0.000
N2 0.500 0.000 0.000


A geometry-optimized ErBe17Tc structure, computed with PBE.

Calculated values
formation energy = -0.122 eV per atom

abc: 5.627 5.627 5.627
angles: 82.99 82.99 82.99
Fractional coordinates of all 19 atoms:
Er1 0.000 0.000 0.000
Be1 0.010 0.010 0.495
Be2 0.010 0.495 0.010
Be3 0.159 0.661 0.661
Be4 0.321 0.321 0.808
Be5 0.321 0.808 0.321
Be6 0.372 0.654 0.956
Be7 0.372 0.956 0.654
Be8 0.495 0.010 0.010
Be9 0.558 0.558 0.558
Be10 0.654 0.372 0.956
Be11 0.654 0.956 0.372
Be12 0.661 0.159 0.661
Be13 0.661 0.661 0.159
Be14 0.752 0.752 0.752
Be15 0.808 0.321 0.321
Be16 0.956 0.372 0.654
Be17 0.956 0.654 0.372
Tc1 0.328 0.328 0.328


no.,total magnetic moment (μB per formula unit),theoretical density (g/cm3)
1,4.7,5.340
2,0.0,3.982